# 1
Here is an optimized crystal structure of KRe2Ru from Alexandria via LeMat-Bulk. Energies are from GGA-PBE.

abc: 4.511 4.511 4.511
angles: 60.00 60.00 60.00
Positions (direct):
Re 0.250 0.250 0.250
Re 0.750 0.750 0.750
K 0.000 0.000 0.000
Ru 0.500 0.500 0.500

## Properties
Energy relative to the lowest polymorph listed for this composition: 97.0 kJ per mole of atoms
E_form: 1.7098 eV per atom
Theoretical density: 13.1 g cm⁻³

# 2
Here is an optimized crystal structure of TlPd2Pb from Alexandria via LeMat-Bulk. Energies are from GGA-PBE.

abc: 3.431 3.431 6.880
angles: 90.00 90.00 90.00
Positions (direct):
Pb 0.500 0.500 0.500
Tl 0.500 0.500 0.000
Pd 0.000 0.000 0.767
Pd 0.000 0.000 0.233

## Properties
Energy relative to the lowest polymorph listed for this composition: 7.0 kJ per mole of atoms
E_form: -0.1300 eV per atom
Theoretical density: 12.8 g cm⁻³

# 3
Here is an optimized crystal structure of Pm2Al3Zn6 from Alexandria via LeMat-Bulk. Energies are from GGA-PBE.

abc: 4.064 7.334 7.334
angles: 92.36 90.00 90.00
Positions (direct):
Pm 0.000 0.281 0.719
Pm 0.000 0.719 0.281
Al 0.000 0.204 0.204
Al 0.000 0.796 0.796
Al 0.500 0.000 0.000
Zn 0.500 0.385 0.385
Zn 0.500 0.615 0.615
Zn 0.500 0.043 0.348
Zn 0.500 0.957 0.652
Zn 0.500 0.348 0.043
Zn 0.500 0.652 0.957

## Properties
Energy relative to the lowest polymorph listed for this composition: 7.3 kJ per mole of atoms
E_form: -0.2006 eV per atom
Theoretical density: 5.8 g cm⁻³

# 4
Here is an optimized crystal structure of CsMgTe from Alexandria via LeMat-Bulk. Energies are from GGA-PBE.

abc: 4.272 6.103 9.295
angles: 102.78 103.29 90.00
Positions (direct):
Mg 0.738 0.240 0.475
Mg 0.262 0.760 0.525
Cs 0.432 0.208 0.865
Cs 0.568 0.792 0.135
Te 0.136 0.358 0.273
Te 0.864 0.642 0.727

## Properties
Energy relative to the lowest polymorph listed for this composition: 0.0 kJ per mole of atoms
Theoretical density: 4.1 g cm⁻³
Formation energy (no corrections): -0.660 eV/atom

# 5
Here is an optimized crystal structure of Ni2RhW from Alexandria via LeMat-Bulk. Energies are from GGA-PBE.

abc: 3.669 2.707 5.916
angles: 62.84 90.00 90.00
Positions (direct):
Ni 0.000 0.989 0.011
Ni 0.500 0.269 0.230
Rh 0.000 0.504 0.496
W 0.500 0.738 0.763

## Properties
Energy relative to the lowest polymorph listed for this composition: 6.4 kJ per mole of atoms
E_form: -0.0870 eV per atom
Theoretical density: 12.8 g cm⁻³

# 6
Here is an optimized crystal structure of CeCdAs2 from Alexandria via LeMat-Bulk. Energies are from GGA-PBE.

abc: 4.211 4.211 6.976
angles: 72.43 72.43 60.00
Site moments in Bohr magnetons follow the coordinates.
Positions (direct):
Ce 0.669 0.669 0.993  0.18
Cd 0.494 0.494 0.517  0.00
As 0.083 0.083 0.750  -0.01
As 0.253 0.253 0.241  -0.01

## Properties
Energy relative to the lowest polymorph listed for this composition: 7.5 kJ per mole of atoms
E_form: -0.6470 eV per atom
Theoretical density: 6.7 g cm⁻³

# 7
Here is an optimized crystal structure of PdSeI from Alexandria via LeMat-Bulk. Energies are from GGA-PBE.

abc: 4.273 7.480 8.140
angles: 55.36 85.33 70.77
Positions (direct):
I 0.803 0.422 0.730
I 0.180 0.671 0.105
Pd 0.826 0.379 0.252
Pd 0.157 0.714 0.584
Se 0.296 0.047 0.322
Se 0.687 0.046 0.514

## Properties
Theoretical density: 5.2 g cm⁻³
Formation energy (no corrections): -0.208 eV/atom

# 8
Here is an optimized crystal structure of Tm6SiC2Se3 from Alexandria via LeMat-Bulk. Energies are from GGA-PBE.

abc: 3.771 7.994 8.768
angles: 104.70 102.42 90.00
Positions (direct):
Tm 0.331 0.874 0.662
Tm 0.679 0.558 0.359
Tm 0.669 0.126 0.338
Tm 0.019 0.258 0.038
Tm 0.981 0.742 0.962
Tm 0.321 0.442 0.641
Si 0.500 0.000 0.000
C 0.829 0.658 0.658
C 0.171 0.342 0.342
Se 0.500 0.500 0.000
Se 0.837 0.169 0.674
Se 0.163 0.831 0.326

## Properties
Theoretical density: 8.7 g cm⁻³
Formation energy (no corrections): -1.183 eV/atom

# 9
Here is an optimized crystal structure of NpAg2Se3 from Alexandria via LeMat-Bulk. Energies are from GGA-PBE.

abc: 6.876 7.289 7.282
angles: 59.96 90.08 90.17
Site moments in Bohr magnetons follow the coordinates.
Positions (direct):
Np 0.547 0.293 0.832  3.44
Np 0.547 0.626 0.165  3.44
Ag 0.935 0.960 0.842  -0.04
Ag 0.935 0.303 0.156  -0.04
Ag 0.935 0.618 0.499  -0.04
Ag 0.358 0.958 0.499  -0.04
Se 0.767 0.626 0.833  -0.11
Se 0.316 0.319 0.139  -0.12
Se 0.767 0.960 0.165  -0.11
Se 0.316 0.598 0.499  -0.12
Se 0.316 0.959 0.859  -0.12
Se 0.766 0.294 0.499  -0.11

## Properties
Energy relative to the lowest polymorph listed for this composition: 0.0 kJ per mole of atoms
Theoretical density: 7.2 g cm⁻³
Formation energy (no corrections): -0.576 eV/atom

# 10
Here is an optimized crystal structure of NbTl2CuHg from Alexandria via LeMat-Bulk. Energies are from GGA-PBE.

abc: 5.522 5.408 5.522
angles: 90.00 90.00 90.00
Site moments in Bohr magnetons follow the coordinates.
Positions (direct):
Tl 0.000 0.000 0.500  0.00
Tl 0.500 0.000 0.000  0.00
Cu 0.500 0.500 0.500  0.00
Hg 0.000 0.500 0.000  0.02
Nb 0.000 0.000 0.000  0.21

## Properties
E_form: 1.0709 eV per atom
Theoretical density: 7.7 g cm⁻³

# 11
Here is an optimized crystal structure of BaBeSbTe2 from Alexandria via LeMat-Bulk. Energies are from GGA-PBE.

abc: 6.575 6.575 6.714
angles: 90.00 90.00 90.00
Site moments in Bohr magnetons follow the coordinates.
Positions (direct):
Sb 0.000 0.000 0.500  0.60
Te 0.000 0.500 0.000  0.24
Te 0.500 0.000 0.000  0.24
Ba 0.000 0.000 0.000  0.02
Be 0.500 0.500 0.500  0.07

## Properties
Energy relative to the lowest polymorph listed for this composition: 142.1 kJ per mole of atoms
Theoretical density: 3.0 g cm⁻³
Formation energy (no corrections): 1.068 eV/atom

# 12
Here is an optimized crystal structure of Yb5As3 from Alexandria via LeMat-Bulk. Energies are from GGA-PBE.

abc: 8.448 8.448 6.591
angles: 90.00 90.00 120.00
Site moments in Bohr magnetons follow the coordinates.
Positions (direct):
As 0.608 0.000 0.250  0.01
As 0.392 0.000 0.750  0.01
As 0.000 0.608 0.250  0.01
As 0.000 0.392 0.750  0.01
As 0.392 0.392 0.250  0.01
As 0.608 0.608 0.750  0.01
Yb 0.333 0.667 0.000  0.20
Yb 0.667 0.333 0.000  0.20
Yb 0.667 0.333 0.500  0.20
Yb 0.333 0.667 0.500  0.20
Yb 0.251 0.000 0.250  0.23
Yb 0.749 0.000 0.750  0.23
Yb 0.000 0.251 0.250  0.23
Yb 0.000 0.749 0.750  0.23
Yb 0.749 0.749 0.250  0.23
Yb 0.251 0.251 0.750  0.23

## Properties
E_form: -1.1354 eV per atom
Theoretical density: 8.9 g cm⁻³

# 13
Here is an optimized crystal structure of Rb2Ba2NbSe6 from Alexandria via LeMat-Bulk. Energies are from GGA-PBE.

abc: 7.652 7.652 8.460
angles: 99.52 99.52 117.52
Positions (direct):
Rb 0.824 0.176 0.000
Rb 0.176 0.824 0.000
Ba 0.337 0.663 0.500
Ba 0.663 0.337 0.500
Nb 0.000 0.000 0.500
Se 0.801 0.801 0.696
Se 0.067 0.344 0.696
Se 0.199 0.199 0.304
Se 0.344 0.067 0.696
Se 0.933 0.656 0.304
Se 0.656 0.933 0.304

## Properties
Theoretical density: 4.0 g cm⁻³
Formation energy (no corrections): -1.191 eV/atom

# 14
Here is an optimized crystal structure of Th4GaOs from Alexandria via LeMat-Bulk. Energies are from GGA-PBE.

abc: 6.051 7.321 7.321
angles: 90.00 90.00 90.00
Positions (direct):
Th 0.000 0.175 0.652
Th 0.000 0.825 0.348
Th 0.000 0.348 0.175
Th 0.000 0.652 0.825
Th 0.500 0.825 0.652
Th 0.500 0.175 0.348
Th 0.500 0.652 0.175
Th 0.500 0.348 0.825
Ga 0.250 0.000 0.000
Ga 0.750 0.000 0.000
Os 0.250 0.500 0.500
Os 0.750 0.500 0.500

## Properties
Energy relative to the lowest polymorph listed for this composition: 0.0 kJ per mole of atoms
E_form: -0.3143 eV per atom
Theoretical density: 12.2 g cm⁻³